# 1
Th6Pb3Au: relaxed, PBE.

Cell and atoms, written as extended XYZ:
```
20
Lattice="-2.182 -4.587 3.918 -6.206 -3.669 -7.751 9.852 -3.694 1.160" Properties=species:S:1:pos:R:3 pbc="T T T"
Th 2.400 -7.615 -1.640
Th 5.816 -6.152 -1.131
Th -2.610 -4.788 -4.512
Th 1.076 -4.941 0.754
Th 1.194 -5.318 -4.873
Th -7.910 -7.413 -4.512
Th -3.223 -8.433 -3.582
Th -0.130 -2.643 -2.479
Th 9.087 -5.144 2.356
Th 4.107 -7.094 1.780
Th -4.437 -5.981 -1.387
Th 4.601 -3.700 1.064
Pb -0.854 -6.268 -1.888
Pb 3.130 -3.978 -2.241
Pb 2.256 -1.793 -0.107
Pb -0.006 -8.507 -3.976
Pb 4.448 -6.219 -4.069
Pb -2.198 -4.081 -0.014
Au 7.533 -3.929 0.139
Au -5.204 -6.204 -4.365
```

symmetry: No. 36
magnetization: 0.000 μB per atom
formation enthalpy at 0 K: -0.16 eV/atom
D(E_F): 10.53 states/eV/f.u.
final energy: -121.14 eV for the cell shown

# 2
ThTlPbAu: relaxed, PBE.

Cell and atoms, written as extended XYZ:
```
4
Lattice="-3.680 -3.187 -2.139 1.481 -4.348 -2.680 -0.868 -4.822 2.067" Properties=species:S:1:pos:R:3 pbc="T T T"
Tl 0.000 0.000 0.000
Pb -2.300 -9.267 -2.064
Th -0.767 -3.089 -0.688
Au -1.534 -6.178 -1.376
```

symmetry: No. 216
magnetization: 0.000 μB per atom
formation enthalpy at 0 K: -0.19 eV/atom
D(E_F): 1.82 states/eV/f.u.
final energy: -17.54 eV for the cell shown

# 3
YThPbAu: relaxed, PBE.

Cell and atoms, written as extended XYZ:
```
4
Lattice="-4.100 -3.425 -0.373 -0.239 -4.254 3.244 -3.682 -0.202 3.883" Properties=species:S:1:pos:R:3 pbc="T T T"
Y -2.005 -1.970 1.688
Au 0.000 0.000 0.000
Pb -4.011 -3.940 3.377
Th -6.016 -5.910 5.065
```

symmetry: No. 216
magnetization: 0.003 μB per atom
formation enthalpy at 0 K: -0.46 eV/atom
D(E_F): 5.92 states/eV/f.u.
final energy: -22.70 eV for the cell shown

# 4
ThZnPbAu: relaxed, PBE.

Cell and atoms, written as extended XYZ:
```
4
Lattice="5.125 0.000 0.000 2.562 4.438 0.000 2.562 1.479 4.184" Properties=species:S:1:pos:R:3 pbc="T T T"
Th 7.687 4.438 3.138
Zn 0.000 0.000 0.000
Pb 2.562 1.479 1.046
Au 5.125 2.959 2.092
```

symmetry: No. 216
magnetization: 0.000 μB per atom
formation enthalpy at 0 K: -0.30 eV/atom
D(E_F): 2.82 states/eV/f.u.
final energy: -16.88 eV for the cell shown

- Look up the D(E_F) of the second one.
  1.82 states/eV/f.u.

- Number 3 is which compound?
  YThPbAu